# MnReNO2 (PBE with a Hubbard U, optimized geometry)
# total magnetic moment = 5.44 Bohr magnetons per cell
# raw total energy = -41.3 eV for the cell shown
# density of states at the Fermi level = 0.393 states/eV per atom
data_MnReNO2
_space_group_name_H-M_alt 'P 1'
_space_group_IT_number 1
_cell_length_a 3.894
_cell_length_b 3.894
_cell_length_c 3.934
_cell_angle_alpha 90.00
_cell_angle_beta 90.00
_cell_angle_gamma 90.00
loop_
_space_group_symop_operation_xyz
'x,y,z'
loop_
_atom_site_label
_atom_site_type_symbol
_atom_site_fract_x
_atom_site_fract_y
_atom_site_fract_z
Mn1 Mn 0.000 0.000 0.000
Re1 Re 0.500 0.500 0.500
N1 N 0.500 0.500 0.000
O1 O 0.000 0.500 0.500
O2 O 0.500 0.000 0.500